Entry from Alexandria via LeMat-Bulk: crystalline PmDyAgPd at its relaxed geometry (PBE).

Cell and atoms, written as CIF:
```
data_PmDyAgPd
_space_group_name_H-M_alt 'F -4 3 m'
_space_group_IT_number 216
_space_group_name_Hall 'F -4 2 3'
_cell_length_a 7.236
_cell_length_b 7.236
_cell_length_c 7.236
_cell_angle_alpha 90.00
_cell_angle_beta 90.00
_cell_angle_gamma 90.00
loop_
_atom_site_label
_atom_site_fract_x
_atom_site_fract_y
_atom_site_fract_z
Pm1 0.000 0.000 0.000
Dy1 0.000 0.000 0.500
Ag1 0.250 0.250 0.750
Pd1 0.250 0.250 0.250
```

Results
energy relative to the lowest polymorph listed for this composition = 14.8 meV/atom
calculated formation energy = -0.55 eV per atom